An optimized crystal structure of TlPb2Br. Source: Alexandria via LeMat-Bulk, functional GGA-PBE.

**Size of the total moment**: 0.00 μB/f.u.
**Raw formation energy**: -0.1899 eV/atom
**DOS at the Fermi energy**: 2.8 states/eV/f.u.

Cell: 10.666 10.666 10.666 Å, 20.57 20.57 20.57°
Fractional positions:
Br  0.750  0.750  0.750
Pb  0.254  0.254  0.254
Pb  0.005  0.005  0.005
Tl  0.491  0.491  0.491

***

An optimized crystal structure of Tl2Pb2Br7. Source: Alexandria via LeMat-Bulk, functional GGA-PBE.

**Size of the total moment**: 0.00 μB/f.u.
**Raw formation energy**: -0.7273 eV/atom
**DOS at the Fermi energy**: 14.4 states/eV/f.u.

Cell: 7.311 7.826 7.311 Å, 90.00 99.31 90.00°
Fractional positions:
Br  0.500  0.253  0.000
Br  0.000  0.000  0.000
Br  0.500  0.239  0.500
Br  0.000  0.253  0.500
Br  0.000  0.747  0.500
Br  0.500  0.747  0.000
Br  0.500  0.761  0.500
Tl  0.232  0.500  0.232
Tl  0.768  0.500  0.768
Pb  0.271  0.000  0.729
Pb  0.729  0.000  0.271

***

An optimized crystal structure of TlPb2Br. Source: Alexandria via LeMat-Bulk, functional GGA-PBE.

**Size of the total moment**: 0.00 μB/f.u.
**Raw formation energy**: -0.1478 eV/atom
**DOS at the Fermi energy**: 1.5 states/eV/f.u.

Cell: 3.568 3.568 10.519 Å, 90.00 90.00 112.67°
Fractional positions:
Pb  0.000  0.000  0.513
Pb  0.000  0.000  0.987
Br  0.500  0.500  0.750
Tl  0.500  0.500  0.250

***

An optimized crystal structure of TlPbBr2. Source: Alexandria via LeMat-Bulk, functional GGA-PBE.

**Size of the total moment**: 0.00 μB/f.u.
**Raw formation energy**: -0.5661 eV/atom
**DOS at the Fermi energy**: 0.9 states/eV/f.u.

Cell: 3.886 3.886 9.425 Å, 90.00 90.00 112.39°
Fractional positions:
Br  0.000  0.000  0.496
Br  0.000  0.000  0.004
Pb  0.500  0.500  0.250
Tl  0.500  0.500  0.750

***

An optimized crystal structure of TlPbBr. Source: Alexandria via LeMat-Bulk, functional GGA-PBE.

**Size of the total moment**: 0.00 μB/f.u.
**Raw formation energy**: -0.0467 eV/atom
**DOS at the Fermi energy**: 4.0 states/eV/f.u.

Cell: 5.391 5.391 5.391 Å, 60.00 60.00 60.00°
Fractional positions:
Br  0.500  0.500  0.500
Pb  0.250  0.250  0.250
Tl  0.000  0.000  0.000

***

An optimized crystal structure of TlPb2Br. Source: Alexandria via LeMat-Bulk, functional GGA-PBE.

**Size of the total moment**: 0.00 μB/f.u.
**Raw formation energy**: -0.2362 eV/atom
**DOS at the Fermi energy**: 2.3 states/eV/f.u.

Cell: 5.712 3.684 6.372 Å, 75.56 90.00 90.00°
Fractional positions:
Pb  0.500  0.228  0.173
Pb  0.000  0.790  0.072
Br  0.500  0.993  0.648
Tl  0.000  0.489  0.607

***

An optimized crystal structure of TlPb2Br4. Source: Alexandria via LeMat-Bulk, functional GGA-PBE.

**Size of the total moment**: 0.00 μB/f.u.
**Raw formation energy**: -0.7400 eV/atom
**DOS at the Fermi energy**: 1.6 states/eV/f.u.

Cell: 9.160 9.150 9.910 Å, 113.87 113.95 114.88°
Fractional positions:
Br  0.965  0.611  0.707
Br  0.861  0.715  0.207
Br  0.289  0.141  0.794
Br  0.412  0.541  0.668
Br  0.791  0.163  0.169
Br  0.391  0.039  0.294
Br  0.456  0.584  0.329
Br  0.834  0.206  0.830
Pb  0.625  0.376  0.751
Pb  0.625  0.875  0.250
Pb  0.626  0.375  0.251
Pb  0.125  0.375  0.750
Tl  0.262  0.737  0.499
Tl  0.987  0.012  0.001

***

An optimized crystal structure of TlPbBr6. Source: Alexandria via LeMat-Bulk, functional GGA-PBE.

**Size of the total moment**: 0.00 μB/f.u.
**Raw formation energy**: -0.4519 eV/atom
**DOS at the Fermi energy**: 6.0 states/eV/f.u.

Cell: 7.040 7.040 7.661 Å, 62.64 62.64 60.00°
Fractional positions:
Br  0.070  0.417  0.756
Br  0.417  0.757  0.756
Br  0.583  0.243  0.244
Br  0.757  0.070  0.756
Br  0.930  0.583  0.244
Br  0.243  0.930  0.244
Pb  0.500  0.500  0.500
Tl  0.000  0.000  0.000

***

An optimized crystal structure of Tl4PbBr. Source: Alexandria via LeMat-Bulk, functional GGA-PBE.

**Size of the total moment**: 0.00 μB/f.u.
**Raw formation energy**: -0.0383 eV/atom
**DOS at the Fermi energy**: 3.7 states/eV/f.u.

Cell: 6.511 6.511 6.511 Å, 60.00 60.00 60.00°
Fractional positions:
Tl  0.375  0.375  0.875
Tl  0.875  0.375  0.375
Tl  0.375  0.375  0.375
Tl  0.375  0.875  0.375
Br  0.750  0.750  0.750
Pb  0.000  0.000  0.000

***

An optimized crystal structure of TlPbBr. Source: Alexandria via LeMat-Bulk, functional GGA-PBE.

**Size of the total moment**: 0.00 μB/f.u.
**Raw formation energy**: -0.3008 eV/atom
**DOS at the Fermi energy**: 0.9 states/eV/f.u.

Cell: 3.832 5.387 6.050 Å, 63.01 92.10 89.98°
Fractional positions:
Pb  0.176  0.355  0.652
Br  0.174  0.478  0.127
Tl  0.673  0.877  0.612

***

An optimized crystal structure of TlPbBr2. Source: Alexandria via LeMat-Bulk, functional GGA-PBE.

**Size of the total moment**: 0.00 μB/f.u.
**Raw formation energy**: -0.5355 eV/atom
**DOS at the Fermi energy**: 2.7 states/eV/f.u.

Cell: 4.677 4.677 6.601 Å, 90.00 90.00 90.00°
Fractional positions:
Br  0.000  0.000  0.880
Br  0.500  0.500  0.372
Tl  0.500  0.500  0.872
Pb  0.000  0.000  0.376

***

An optimized crystal structure of TlPbBr2. Source: Alexandria via LeMat-Bulk, functional GGA-PBE.

**Size of the total moment**: 0.89 μB/f.u.
**Raw formation energy**: -0.2412 eV/atom
**DOS at the Fermi energy**: 3.2 states/eV/f.u.

Cell: 5.578 5.578 5.578 Å, 60.00 60.00 60.00°
Last column: magnetic moment on the atom in μB.
Fractional positions:
Pb  0.500  0.500  0.500  0.22
Br  0.250  0.250  0.250  0.04
Br  0.000  0.000  0.000  0.05
Tl  0.750  0.750  0.750  0.08